No. 1
meta-GGA SCAN ZrAlTc, PBEsol geometry; E_form = -0.15 eV/f.u.
1.0
2.948 0.000 0.000
-1.474 2.553 0.000
0.000 0.000 6.755
Zr Al Tc
1 1 1
Direct
0.667 0.333 0.343
0.000 0.000 0.973
0.333 0.667 0.684

No. 2
meta-GGA SCAN La4TlPt, PBEsol geometry; E_form = 0.94 eV/f.u.
1.0
-0.670 -0.348 -6.143
-1.735 -5.329 -2.626
-5.649 -0.537 -2.471
La Pt Tl
4 1 1
Direct
0.874 0.375 0.375
0.375 0.874 0.375
0.375 0.375 0.375
0.375 0.375 0.874
0.750 0.750 0.750
0.000 0.000 0.000

No. 3
meta-GGA SCAN MgZn2Sb, PBEsol geometry; uncorrected formation energy = 130 meV per atom
1.0
-2.021 -3.286 2.929
2.792 -3.147 2.400
0.516 0.392 4.800
Zn Sb Mg
2 1 1
Direct
0.250 0.250 0.250
0.000 0.000 0.000
0.750 0.750 0.750
0.500 0.500 0.500

No. 4
meta-GGA SCAN Li2Ge2Sb, PBEsol geometry; uncorrected formation energy = -71 meV per atom
1.0
-3.358 0.466 2.281
-0.278 -4.055 0.419
5.049 2.059 3.352
Li Sb Ge
2 1 2
Direct
0.250 0.750 0.500
0.750 0.250 0.500
0.000 0.000 0.000
0.604 0.604 0.208
0.396 0.396 0.792